# PrHo4P5, optimized geometry, DFT PBE
# calculated density	6.8	g/cm³
# calculated total energy	-65.96	eV/f.u.
# crystal system	monoclinic
# DOS(E_F)	3.0	states/eV/cell
data_PrHo4P5
_space_group_name_H-M_alt 'C 1 2/m 1'
_space_group_IT_number 12
_space_group_name_Hall '-C 2y'
_cell_length_a 13.363
_cell_length_b 4.034
_cell_length_c 9.880
_cell_angle_alpha 90.00
_cell_angle_beta 119.50
_cell_angle_gamma 90.00
loop_
_atom_site_label
_atom_site_fract_x
_atom_site_fract_y
_atom_site_fract_z
Pr1 0.000 0.000 0.000
Ho1 0.098 0.500 0.400
Ho2 0.201 0.000 0.797
P1 0.000 0.000 0.500
P2 0.105 0.500 0.896
P3 0.203 0.000 0.307